Record 1
{"formula": "Na2HgHPb", "functional": "PBE-GGA", "state": "optimized geometry", "sg": "No. 123", "relative_energy_mev_per_atom": 0, "crystal_system": "tetragonal", "lattice_angstrom": [[-4.2444, 1.9601, 1.1129], [-1.2890, -4.0573, 2.2301], [1.8305, 1.6542, 4.0676]], "species": ["Na", "H", "Na", "Hg", "Pb"], "fractional_positions": [[0.5000, 0.0000, 0.0000], [0.0000, 0.0000, 0.0000], [0.0000, 0.5000, 0.0000], [0.5000, 0.5000, 0.5000], [0.0000, 0.0000, 0.5000]]}


Record 2
{"formula": "NaHgHPd2", "functional": "PBE-GGA", "state": "optimized geometry", "sg": "No. 123", "relative_energy_mev_per_atom": 168, "crystal_system": "tetragonal", "lattice_angstrom": [[4.1168, 0.0000, 0.0000], [0.0000, 4.1168, 0.0000], [0.0000, 0.0000, 4.3802]], "species": ["Hg", "H", "Na", "Pd", "Pd"], "fractional_positions": [[0.0000, 0.0000, 0.5000], [0.0000, 0.0000, 0.0000], [0.5000, 0.5000, 0.5000], [0.0000, 0.5000, 0.0000], [0.5000, 0.0000, 0.0000]]}


Record 3
{"formula": "NaHgHPd", "functional": "PBE-GGA", "state": "optimized geometry", "sg": "No. 38", "crystal_system": "orthorhombic", "energy_ha_per_atom": -0.10079, "lattice_angstrom": [[-0.8068, -0.3024, -2.8321], [4.0345, -0.9537, -1.0475], [-3.0175, -4.6714, 1.3585]], "species": ["Na", "Hg", "H", "Pd"], "fractional_positions": [[0.5000, 0.2575, 0.5149], [0.0000, 0.9494, 0.8987], [0.0000, 0.6602, 0.3205], [0.5000, 0.5633, 0.1266]]}


| no. | Fermi-level density of states (states/eV/atom) |
| --- | --- |
| 1 | 0.514 |
| 2 | 0.332 |
| 3 | 0.175 |